[1]
{"formula": "ReMo2W", "functional": "GGA-PBEsol", "state": "relaxed", "energy_ev_per_atom": -12.646, "relative_energy_mev_per_atom": 0, "formation_enthalpy_0k_mev_per_atom": 23, "m_tot_mub_per_fu": 0.0, "lattice_angstrom": [[-3.1333, -1.4088, -2.7695], [-1.4505, -4.1605, 0.2419], [-4.0627, -0.8362, 1.5061]], "species": ["Re", "Mo", "Mo", "W"], "fractional_positions": [[0.5000, 0.5000, 0.5000], [0.0000, 0.0000, 0.0000], [0.7500, 0.7500, 0.7500], [0.2500, 0.2500, 0.2500]]}

[2]
{"formula": "ReMo2W", "functional": "GGA-PBEsol", "state": "relaxed", "energy_ev_per_atom": -12.626, "relative_energy_mev_per_atom": 20, "formation_enthalpy_0k_mev_per_atom": 42, "m_tot_mub_per_fu": 0.0, "lattice_angstrom": [[2.7068, 0.0000, -0.0044], [0.0000, 4.4125, 0.0000], [-0.9176, 0.0000, 5.0923]], "species": ["Re", "Mo", "Mo", "W"], "fractional_positions": [[0.5000, 0.5000, 0.0000], [0.7550, 0.0000, 0.7504], [0.2450, 0.0000, 0.2497], [0.0000, 0.5000, 0.5000]]}